Crystalline VSnSbOs2 at its relaxed geometry, computed with PBE-GGA.

Unit cell a=4.8153 b=4.8153 c=5.4230 alpha=90.00 beta=90.00 gamma=90.00
Space group P4/mmm (No. 123)
One atom of each set of equivalent atoms:
1 V 0.0000 0.0000 0.0000
2 Sn 0.5000 0.5000 0.0000
3 Sb 0.5000 0.5000 0.5000
4 Os 0.0000 0.5000 0.5000

* total moment: 0.5 μB/cell
* mass density: 8.87 Mg/m³
* ΔE_f (raw): 2314 meV/atom
* E: -5.627 eV per atom
* volume: 25.1 Å³ per atom